Record 1
{"formula": "Rb2YSbF6", "functional": "PBE-GGA", "state": "relaxed", "sg": "I4/mmm", "dft_energy_ev_per_atom": -5.1495, "rho_g_cm3": 3.4, "cell": [[-5.693, -4.543, -0.838], [-0.024, -1.301, 7.215], [-5.661, 0.479, 3.793]], "species": ["F", "F", "F", "F", "F", "F", "Rb", "Rb", "Y", "Sb"], "frac_coords": [[0.291, 0.709, 0.000], [0.749, 0.749, 0.501], [0.291, 0.291, 0.000], [0.709, 0.709, 0.000], [0.709, 0.291, 0.000], [0.251, 0.251, 0.499], [0.750, 0.250, 0.500], [0.250, 0.750, 0.500], [0.500, 0.500, 0.000], [0.000, 0.000, 0.000]]}


Record 2
{"formula": "RbYSb2F", "functional": "PBE-GGA", "state": "relaxed", "sg": "P4/mmm", "dft_energy_ev_per_atom": -3.8633, "rho_g_cm3": 2.1, "cell": [[-0.370, -1.299, -5.486], [-9.661, -4.629, 1.748], [-2.549, 4.942, -0.998]], "species": ["Sb", "Sb", "Rb", "F", "Y"], "frac_coords": [[0.000, 0.000, 0.500], [0.500, 0.000, 0.000], [0.000, 0.500, 0.000], [0.500, 0.500, 0.500], [0.000, 0.000, 0.000]]}


Record 3
{"formula": "Rb2ZnSbF6", "functional": "PBE-GGA", "state": "relaxed", "sg": "I4/mmm", "dft_energy_ev_per_atom": -4.1747, "rho_g_cm3": 4.1, "cell": [[-4.288, -4.073, -1.602], [0.354, -2.559, 5.556], [-5.590, -0.164, 3.660]], "species": ["F", "F", "F", "F", "F", "F", "Zn", "Rb", "Rb", "Sb"], "frac_coords": [[0.253, 0.747, 0.000], [0.747, 0.253, 0.000], [0.253, 0.253, 0.000], [0.308, 0.308, 0.385], [0.692, 0.692, 0.615], [0.747, 0.747, 0.000], [0.500, 0.500, 0.000], [0.250, 0.750, 0.500], [0.750, 0.250, 0.500], [0.000, 0.000, 0.000]]}


Record 4
{"formula": "RbZrSbF2", "functional": "PBE-GGA", "state": "relaxed", "sg": "P4/mmm", "dft_energy_ev_per_atom": -4.0541, "rho_g_cm3": 4.1, "cell": [[4.549, 0.000, 0.000], [0.000, 6.655, 0.000], [0.000, 0.000, 4.549]], "species": ["Sb", "Zr", "Rb", "F", "F"], "frac_coords": [[0.000, 0.500, 0.000], [0.500, 0.500, 0.500], [0.000, 0.000, 0.000], [0.500, 0.000, 0.000], [0.000, 0.000, 0.500]]}


Record 5
{"formula": "Rb2ZrSbF6", "functional": "PBE-GGA", "state": "relaxed", "sg": "I4/mmm", "dft_energy_ev_per_atom": -5.2239, "rho_g_cm3": 3.2, "cell": [[-7.406, -1.868, 0.659], [1.481, -3.529, 6.643], [-3.717, 1.056, 5.814]], "species": ["Rb", "Rb", "F", "F", "F", "F", "F", "F", "Zr", "Sb"], "frac_coords": [[0.750, 0.250, 0.500], [0.250, 0.750, 0.500], [0.734, 0.734, 0.531], [0.266, 0.266, 0.469], [0.313, 0.687, 0.000], [0.687, 0.687, 0.000], [0.687, 0.313, 0.000], [0.313, 0.313, 0.000], [0.500, 0.500, 0.000], [0.000, 0.000, 0.000]]}


Record 6
{"formula": "RbScF2", "functional": "PBE-GGA", "state": "relaxed", "sg": "I-42d", "polymorph_energy_mev_per_atom": 282, "rho_g_cm3": 2.9, "cell": [[-1.858, -0.894, 5.146], [4.691, -2.687, 1.227], [4.029, 3.633, 5.071]], "species": ["F", "F", "F", "F", "Sc", "Sc", "Rb", "Rb"], "frac_coords": [[0.375, 0.560, 0.750], [0.440, 0.125, 0.250], [0.875, 0.690, 0.750], [0.310, 0.625, 0.250], [0.250, 0.750, 0.500], [0.500, 0.500, 0.000], [0.000, 0.000, 0.000], [0.750, 0.250, 0.500]]}